Record 1
Computed, not measured: a geometry-optimized BaSbTe2 structure at the GGA-PBE level of DFT.

## Properties
crystal system	orthorhombic
total magnetization	0.000	μB per formula unit
ΔE_f (raw)	-0.6446	eV/atom

```
BaSbTe2
1.0
-2.201 2.642 5.740
2.201 -2.642 5.740
2.201 2.642 -5.740
Ba Sb Te
1 1 2
Cartesian
0.000 0.000 0.000
2.201 0.000 3.126
0.000 0.000 5.474
0.000 2.642 2.687
```

---

Record 2
Computed, not measured: a geometry-optimized BaSb2Te4 structure at the GGA-PBE level of DFT.

## Properties
crystal system	monoclinic
total magnetization	0.000	μB per formula unit
relative energy among the computed polymorphs	22.3	meV/atom
ΔE_f (raw)	-0.5103	eV/atom

```
BaSb2Te4
1.0
7.276 -4.901 0.000
7.276 4.901 0.000
-7.273 0.000 7.699
Ba Sb Te
2 4 8
Cartesian
0.000 0.000 0.000
3.640 -2.457 3.849
-2.187 -1.457 5.541
1.451 0.995 6.006
5.829 0.995 1.693
9.467 -1.457 2.157
2.069 4.170 4.931
5.211 4.170 2.768
-1.568 1.723 6.619
2.776 0.597 2.003
8.847 1.723 1.080
4.504 0.597 5.695
0.865 -1.852 5.849
6.415 -1.852 1.849
```

---

Record 3
Computed, not measured: a geometry-optimized Ba3SbTe structure at the GGA-PBE level of DFT.

## Properties
crystal system	cubic
total magnetization	0.000	μB per formula unit
relative energy among the computed polymorphs	388.0	meV/atom
ΔE_f (raw)	-0.7344	eV/atom

```
Ba3SbTe
1.0
6.549 0.000 0.000
0.000 6.549 0.000
0.000 0.000 6.549
Ba Sb Te
3 1 1
Cartesian
0.000 0.000 3.275
0.000 3.275 0.000
3.275 0.000 0.000
0.000 0.000 0.000
3.275 3.275 3.275
```

---

Record 4
Computed, not measured: a geometry-optimized BaSbTe2 structure at the GGA-PBE level of DFT.

## Properties
crystal system	tetragonal
total magnetization	0.000	μB per formula unit
ΔE_f (raw)	-0.4661	eV/atom

```
BaSbTe2
1.0
-2.514 2.514 5.200
2.514 -2.514 5.200
2.514 2.514 -5.200
Ba Sb Te
1 1 2
Cartesian
0.000 0.000 0.000
0.000 0.000 5.200
2.514 0.000 2.600
0.000 2.514 2.600
```

---

Record 5
Computed, not measured: a geometry-optimized BaSbTe3 structure at the GGA-PBE level of DFT.

## Properties
crystal system	orthorhombic
total magnetization	0.000	μB per formula unit
relative energy among the computed polymorphs	0.0	meV/atom
ΔE_f (raw)	-0.7851	eV/atom

```
BaSbTe3
1.0
4.613 0.000 0.000
0.000 17.350 0.000
0.000 0.000 18.342
Ba Sb Te
8 8 24
Cartesian
1.096 1.801 7.417
1.118 16.650 3.046
1.189 0.700 12.217
1.210 15.549 16.587
3.402 6.874 10.925
3.424 9.375 15.296
3.495 7.975 6.125
3.517 10.476 1.754
1.038 4.880 14.683
1.065 6.375 0.539
1.242 10.975 9.710
1.268 12.470 5.512
3.344 3.795 3.659
3.371 2.300 17.803
3.548 15.050 8.632
3.574 13.555 12.830
0.889 12.351 14.824
0.981 4.110 10.246
1.019 14.208 10.855
1.098 15.566 6.752
1.106 7.516 13.449
1.141 8.246 8.709
1.166 9.104 17.880
1.200 9.833 4.278
1.209 1.784 15.923
1.287 3.142 1.684
1.325 13.240 1.075
1.418 4.999 5.653
3.195 13.674 3.518
3.287 4.565 8.096
3.325 11.817 7.486
3.404 10.459 11.590
3.413 1.159 4.893
3.447 0.429 9.633
3.472 16.921 0.462
3.506 16.191 14.064
3.515 6.891 2.419
3.594 5.533 16.657
3.631 12.785 17.267
3.724 3.676 12.689
```

---

Record 6
Computed, not measured: a geometry-optimized BaTiSb2Te structure at the GGA-PBE level of DFT.

## Properties
crystal system	tetragonal
total magnetization	1.777	μB per formula unit
relative energy among the computed polymorphs	1746.1	meV/atom
ΔE_f (raw)	1.1491	eV/atom

```
BaTiSb2Te
1.0
6.111 0.000 0.000
0.000 6.111 0.000
0.000 0.000 6.263
Ba Ti Sb Te
1 1 2 1
Cartesian
0.000 0.000 0.000
3.055 3.055 3.131
0.000 3.055 0.000
3.055 0.000 0.000
0.000 0.000 3.131
```

---

Record 7
Computed, not measured: a geometry-optimized BaTiSb2Te structure at the GGA-PBE level of DFT.

## Properties
crystal system	tetragonal
total magnetization	0.000	μB per formula unit
relative energy among the computed polymorphs	0.0	meV/atom
ΔE_f (raw)	-0.5970	eV/atom

```
BaTiSb2Te
1.0
5.335 0.000 0.000
0.000 5.335 0.000
0.000 0.000 5.643
Ba Ti Sb Te
1 1 2 1
Cartesian
0.000 0.000 0.000
2.668 2.668 2.821
0.000 2.668 2.821
2.668 0.000 2.821
2.668 2.668 0.000
```

---

Record 8
Computed, not measured: a geometry-optimized BaTlSbTe2 structure at the GGA-PBE level of DFT.

## Properties
crystal system	tetragonal
total magnetization	1.446	μB per formula unit
relative energy among the computed polymorphs	419.9	meV/atom
ΔE_f (raw)	0.2124	eV/atom

```
BaTlSbTe2
1.0
6.512 0.000 0.000
0.000 6.512 0.000
0.000 0.000 6.449
Ba Tl Sb Te
1 1 1 2
Cartesian
0.000 0.000 0.000
3.256 3.256 3.224
0.000 0.000 3.224
0.000 3.256 0.000
3.256 0.000 0.000
```

---

Record 9
Computed, not measured: a geometry-optimized BaTlSbTe2 structure at the GGA-PBE level of DFT.

## Properties
crystal system	tetragonal
total magnetization	0.291	μB per formula unit
relative energy among the computed polymorphs	0.0	meV/atom
ΔE_f (raw)	-0.2074	eV/atom

```
BaTlSbTe2
1.0
5.974 0.000 0.000
0.000 5.974 0.000
0.000 0.000 5.593
Ba Tl Sb Te
1 1 1 2
Cartesian
0.000 0.000 0.000
2.987 2.987 2.796
2.987 2.987 0.000
0.000 2.987 2.796
2.987 0.000 2.796
```

---

Record 10
Computed, not measured: a geometry-optimized BaVSbTe2 structure at the GGA-PBE level of DFT.

## Properties
crystal system	tetragonal
total magnetization	2.274	μB per formula unit
relative energy among the computed polymorphs	1528.7	meV/atom
ΔE_f (raw)	1.0534	eV/atom

```
BaVSbTe2
1.0
6.372 0.000 0.000
0.000 6.372 0.000
0.000 0.000 6.229
Ba V Sb Te
1 1 1 2
Cartesian
0.000 0.000 0.000
3.186 3.186 3.115
0.000 0.000 3.115
0.000 3.186 0.000
3.186 0.000 0.000
```

---

Record 11
Computed, not measured: a geometry-optimized BaVSb2Te structure at the GGA-PBE level of DFT.

## Properties
crystal system	tetragonal
total magnetization	0.918	μB per formula unit
relative energy among the computed polymorphs	0.0	meV/atom
ΔE_f (raw)	-0.3846	eV/atom

```
BaVSb2Te
1.0
5.113 0.000 0.000
0.000 5.113 0.000
0.000 0.000 6.071
Ba V Sb Te
1 1 2 1
Cartesian
0.000 0.000 0.000
2.556 2.556 3.036
0.000 2.556 3.036
2.556 0.000 3.036
2.556 2.556 0.000
```

---

Record 12
Computed, not measured: a geometry-optimized BaVSbTe2 structure at the GGA-PBE level of DFT.

## Properties
crystal system	tetragonal
total magnetization	0.003	μB per formula unit
relative energy among the computed polymorphs	0.0	meV/atom
ΔE_f (raw)	-0.4753	eV/atom

```
BaVSbTe2
1.0
5.484 0.000 0.000
0.000 5.484 0.000
0.000 0.000 5.153
Ba V Sb Te
1 1 1 2
Cartesian
0.000 0.000 0.000
2.742 2.742 2.577
2.742 2.742 0.000
0.000 2.742 2.577
2.742 0.000 2.577
```